<P>
CaGa3O: relaxed, PBE.

## Properties
* total magnetization: 0.00 μB per cell
* DOS at the Fermi energy: 0.49 states/eV/atom

a b c (Å): 4.6090 4.6090 4.6090
angles (deg): 90.00 90.00 90.00
Space group Pm-3m (No. 221)
One atom of each set of equivalent atoms:
Ca (0.0000, 0.0000, 0.0000) x1
Ga (0.0000, 0.5000, 0.5000) x3
O (0.5000, 0.5000, 0.5000) x1

---

<Q>
CaGa3O: relaxed, PBE.

## Properties
* total magnetization: 0.00 μB per cell
* DOS at the Fermi energy: 1.18 states/eV/atom

a b c (Å): 5.6099 5.6099 5.6099
angles (deg): 90.00 90.00 90.00
Space group Pm-3m (No. 221)
One atom of each set of equivalent atoms:
Ca (0.0000, 0.0000, 0.0000) x1
Ga (0.0000, 0.0000, 0.5000) x3
O (0.5000, 0.5000, 0.5000) x1

---

Which structure loses on stability? <Q> does.

---

<P>
Ca2GaO: relaxed, PBE.

## Properties
* total magnetization: 6.48 μB per cell
* DOS at the Fermi energy: 1.12 states/eV/atom

a b c (Å): 6.9827 6.9827 6.9827
angles (deg): 90.00 90.00 90.00
Space group Fm-3m (No. 225)
One atom of each set of equivalent atoms:
Ca (0.2500, 0.2500, 0.2500) x8
Ga (0.0000, 0.0000, 0.0000) x4
O (0.0000, 0.0000, 0.5000) x4

---

<Q>
Ca2GaO: relaxed, PBE.

## Properties
* total magnetization: 0.00 μB per cell
* DOS at the Fermi energy: 0.27 states/eV/atom

a b c (Å): 6.7843 6.7843 8.4933
angles (deg): 90.00 90.00 90.00
Space group I-42d (No. 122)
One atom of each set of equivalent atoms:
Ca (0.1430, 0.2500, 0.1250) x8
Ga (0.0000, 0.0000, 0.5000) x4
O (0.0000, 0.0000, 0.0000) x4

---

<R>
Ca2GaO: relaxed, PBE.

## Properties
* total magnetization: 1.16 μB per cell
* DOS at the Fermi energy: 0.65 states/eV/atom

a b c (Å): 3.4589 3.4589 26.2819
angles (deg): 90.00 90.00 120.00
Space group R-3m (No. 166, hexagonal axes)
One atom of each set of equivalent atoms:
Ca (0.0000, 0.0000, 0.1140) x6
Ga (0.0000, 0.0000, 0.0000) x3
O (0.0000, 0.0000, 0.5000) x3

---

Which structure loses on stability? <P> does.

---

<P>
CaGaPO2: relaxed, PBE.

## Properties
* total magnetization: 1.84 μB per cell
* DOS at the Fermi energy: 0.60 states/eV/atom

a b c (Å): 4.0203 4.0203 4.7782
angles (deg): 90.00 90.00 90.00
Space group P4/mmm (No. 123)
One atom of each set of equivalent atoms:
Ca (0.0000, 0.0000, 0.0000) x1
Ga (0.5000, 0.5000, 0.5000) x1
P (0.5000, 0.5000, 0.0000) x1
O (0.0000, 0.5000, 0.5000) x2

---

<Q>
CaGaPO2: relaxed, PBE.

## Properties
* total magnetization: 2.63 μB per cell
* DOS at the Fermi energy: 0.88 states/eV/atom

a b c (Å): 4.2308 4.2308 5.9751
angles (deg): 90.00 90.00 90.00
Space group P4/mmm (No. 123)
One atom of each set of equivalent atoms:
Ca (0.0000, 0.0000, 0.0000) x1
Ga (0.5000, 0.5000, 0.5000) x1
P (0.0000, 0.0000, 0.5000) x1
O (0.0000, 0.5000, 0.0000) x2

---

Which structure loses on stability? <Q> does.

---

<P>
Ca3Ga2Sn3O12: relaxed, PBE.

## Properties
* total magnetization: 0.00 μB per cell
* DOS at the Fermi energy: 0.00 states/eV/atom

a b c (Å): 12.8291 12.8291 12.9642
angles (deg): 90.00 90.00 90.00
Space group I4_1/acd (No. 142, origin choice 2)
One atom of each set of equivalent atoms:
Ca (0.0000, 0.2500, 0.1250) x8
Ca (0.1280, 0.0000, 0.2500) x16
Ga (0.1230, 0.0000, 0.7500) x16
Sn (0.0000, 0.0000, 0.0000) x16
Sn (0.0000, 0.2500, 0.3750) x8
O (0.0280, 0.0492, 0.6509) x32
O (0.0579, 0.1520, 0.9768) x32
O (0.1500, 0.0338, 0.4481) x32

---

<Q>
Ca3Ga2Sn3O12: relaxed, PBE.

## Properties
* total magnetization: 0.00 μB per cell
* DOS at the Fermi energy: 0.00 states/eV/atom

a b c (Å): 12.8986 12.8986 12.8986
angles (deg): 90.00 90.00 90.00
Space group Ia-3d (No. 230)
One atom of each set of equivalent atoms:
Ca (0.0000, 0.2500, 0.1250) x24
Ga (0.0000, 0.0000, 0.0000) x16
Sn (0.0000, 0.2500, 0.3750) x24
O (0.0256, 0.0527, 0.6458) x96

---

Which structure loses on stability? <Q> does.